Model one:
Here is a relaxed Ho2Er4In crystal from the Alexandria database. Energies are from PBE-GGA.

## Properties
The value obtained for the magnetization is 0.000 μB per cell. As for the space group: No. 11.

a = 5.741 Å, b = 6.597 Å, c = 11.360 Å
α = 90.00°, β = 103.82°, γ = 90.00°
Positions (direct):
Ho 0.058 0.250 0.479
Ho 0.335 0.750 0.073
Ho 0.665 0.250 0.927
Ho 0.942 0.750 0.521
Er 0.159 0.007 0.788
Er 0.159 0.493 0.788
Er 0.220 0.250 0.066
Er 0.377 0.750 0.371
Er 0.623 0.250 0.629
Er 0.780 0.750 0.934
Er 0.841 0.507 0.212
Er 0.841 0.993 0.212
In 0.477 0.250 0.340
In 0.523 0.750 0.660

=====

Model two:
Here is a relaxed Ho2Er4In crystal from the Alexandria database. Energies are from PBE-GGA.

## Properties
The value obtained for the magnetization is 0.001 μB per cell. As for the space group: No. 43.

a = 11.511 Å, b = 6.385 Å, c = 11.955 Å
α = 70.41°, β = 31.51°, γ = 78.08°
Positions (direct):
Ho 0.227 0.773 0.298
Ho 0.548 0.952 0.477
Ho 0.773 0.227 0.702
Ho 0.952 0.548 0.023
Er 0.015 0.171 0.252
Er 0.171 0.015 0.562
Er 0.352 0.494 0.486
Er 0.494 0.352 0.668
Er 0.582 0.764 0.756
Er 0.688 0.998 0.079
Er 0.764 0.582 0.898
Er 0.998 0.688 0.235
In 0.078 0.078 0.922
In 0.328 0.328 0.172

=====

model two takes first place; second place is 16 meV/atom up.

=====

Model one:
Here is a relaxed Ho3ErIn crystal from the Alexandria database. Energies are from PBE-GGA.

## Properties
The value obtained for the magnetization is 0.000 μB per cell. As for the space group: No. 63.

a = 6.784 Å, b = 6.784 Å, c = 8.745 Å
α = 90.00°, β = 90.00°, γ = 128.88°
Positions (direct):
Ho 0.062 0.938 0.750
Ho 0.176 0.824 0.068
Ho 0.176 0.824 0.432
Ho 0.824 0.176 0.568
Ho 0.824 0.176 0.932
Ho 0.938 0.062 0.250
Er 0.428 0.572 0.250
Er 0.572 0.428 0.750
In 0.321 0.679 0.750
In 0.679 0.321 0.250

=====

Model two:
Here is a relaxed Ho3ErIn crystal from the Alexandria database. Energies are from PBE-GGA.

## Properties
The value obtained for the magnetization is 0.000 μB per cell. As for the space group: No. 63.

a = 12.684 Å, b = 12.684 Å, c = 4.789 Å
α = 90.00°, β = 90.00°, γ = 158.22°
Positions (direct):
Ho 0.049 0.951 0.750
Ho 0.250 0.750 0.750
Ho 0.448 0.552 0.750
Ho 0.552 0.448 0.250
Ho 0.750 0.250 0.250
Ho 0.951 0.049 0.250
Er 0.150 0.850 0.250
Er 0.850 0.150 0.750
In 0.348 0.652 0.250
In 0.652 0.348 0.750

=====

model two takes first place; second place is 483 meV/atom up.

=====

Model one:
Here is a relaxed Ho6Er2In crystal from the Alexandria database. Energies are from PBE-GGA.

## Properties
The value obtained for the magnetization is 0.000 μB per cell. As for the space group: No. 15.

a = 9.725 Å, b = 9.725 Å, c = 6.073 Å
α = 95.64°, β = 95.64°, γ = 72.25°
Positions (direct):
Ho 0.085 0.810 0.981
Ho 0.150 0.432 0.138
Ho 0.190 0.915 0.519
Ho 0.275 0.518 0.665
Ho 0.432 0.150 0.638
Ho 0.482 0.725 0.835
Ho 0.518 0.275 0.165
Ho 0.568 0.850 0.362
Ho 0.725 0.482 0.335
Ho 0.810 0.085 0.481
Ho 0.850 0.568 0.862
Ho 0.915 0.190 0.019
Er 0.068 0.284 0.573
Er 0.284 0.068 0.073
Er 0.716 0.932 0.927
Er 0.932 0.716 0.427
In 0.372 0.628 0.250
In 0.628 0.372 0.750

=====

Model two:
Here is a relaxed Ho6Er2In crystal from the Alexandria database. Energies are from PBE-GGA.

## Properties
The value obtained for the magnetization is 0.000 μB per cell. As for the space group: No. 15.

a = 10.843 Å, b = 10.843 Å, c = 8.892 Å
α = 108.40°, β = 108.40°, γ = 32.88°
Positions (direct):
Ho 0.002 0.672 0.082
Ho 0.116 0.776 0.863
Ho 0.224 0.884 0.637
Ho 0.242 0.541 0.470
Ho 0.328 0.998 0.418
Ho 0.459 0.758 0.030
Ho 0.541 0.242 0.970
Ho 0.672 0.002 0.582
Ho 0.758 0.459 0.530
Ho 0.776 0.116 0.363
Ho 0.884 0.224 0.137
Ho 0.998 0.328 0.918
Er 0.107 0.447 0.694
Er 0.447 0.107 0.194
Er 0.553 0.893 0.806
Er 0.893 0.553 0.306
In 0.335 0.665 0.250
In 0.665 0.335 0.750

=====

model two takes first place; second place is 70 meV/atom up.

=====

Model one:
Here is a relaxed Ho5ErIn2 crystal from the Alexandria database. Energies are from PBE-GGA.

## Properties
The value obtained for the magnetization is 0.002 μB per cell. As for the space group: No. 71.

a = 3.515 Å, b = 10.489 Å, c = 12.667 Å
α = 90.00°, β = 90.00°, γ = 90.00°
Positions (direct):
Ho 0.000 0.000 0.000
Ho 0.000 0.271 0.367
Ho 0.000 0.271 0.633
Ho 0.000 0.729 0.367
Ho 0.000 0.729 0.633
Ho 0.500 0.229 0.133
Ho 0.500 0.229 0.867
Ho 0.500 0.500 0.500
Ho 0.500 0.771 0.133
Ho 0.500 0.771 0.867
Er 0.000 0.500 0.000
Er 0.500 0.000 0.500
In 0.000 0.000 0.260
In 0.000 0.000 0.740
In 0.500 0.500 0.240
In 0.500 0.500 0.760

=====

Model two:
Here is a relaxed Ho5ErIn2 crystal from the Alexandria database. Energies are from PBE-GGA.

## Properties
The value obtained for the magnetization is 0.004 μB per cell. As for the space group: No. 55.

a = 6.821 Å, b = 13.648 Å, c = 4.806 Å
α = 90.00°, β = 90.00°, γ = 90.00°
Positions (direct):
Ho 0.000 0.000 0.000
Ho 0.000 0.250 0.000
Ho 0.000 0.750 0.000
Ho 0.250 0.125 0.500
Ho 0.250 0.625 0.500
Ho 0.500 0.250 0.000
Ho 0.500 0.500 0.000
Ho 0.500 0.750 0.000
Ho 0.750 0.375 0.500
Ho 0.750 0.875 0.500
Er 0.000 0.500 0.000
Er 0.500 0.000 0.000
In 0.249 0.375 0.500
In 0.251 0.875 0.500
In 0.749 0.125 0.500
In 0.751 0.625 0.500

=====

model two takes first place; second place is 103 meV/atom up.